## FeMoBr (GGA-PBEsol)

Data for FeMoBr after structural relaxation.

Results
For the formation energy without anion corrections, the calculation gives 0.56 eV/atom. Its total energy is -6.9745 eV/atom. Its calculated volume is 14.57 A^3/atom.

a b c (Å): 2.945 2.945 10.078
angles (deg): 90.00 90.00 90.00
Space group I4mm (No. 107)
Inequivalent atoms, fractional coordinates:
1 Fe 0.000 0.000 0.000 [2 per cell]
2 Mo 0.000 0.000 0.644 [2 per cell]
3 Br 0.000 0.000 0.324 [2 per cell]


## YLuIn2 (GGA-PBEsol)

Data for YLuIn2 after structural relaxation.

Results
Its total energy is -4.9144 eV/atom. Its calculated volume is 24.62 A^3/atom.

a b c (Å): 7.330 7.330 7.330
angles (deg): 90.00 90.00 90.00
Space group Fm-3m (No. 225)
Inequivalent atoms, fractional coordinates:
1 Y 0.000 0.000 0.000 [4 per cell]
2 Lu 0.000 0.000 0.500 [4 per cell]
3 In 0.250 0.250 0.250 [8 per cell]


Question: What is the calculated volume in the first record?
Answer: 14.57 A^3/atom